TbInPdRu: relaxed, PBE-GGA.

Properties
SG = F-43m (216)
raw total energy = -5.948 eV/atom
size of the total moment = 0.00 μB/f.u.

Lattice parameters (Å, degrees): 4.7444 4.7444 4.7444 60.00 60.00 60.00
Sites, in units of the cell vectors:
Pd1 0.2500 0.2500 0.2500
Ru1 0.7500 0.7500 0.7500
In1 0.0000 0.0000 0.0000
Tb1 0.5000 0.5000 0.5000